# 1
Density functional theory data (GGA-PBE) for CaPrSmGa after structural relaxation.

Unit cell a=7.7449 b=7.7449 c=7.7449 alpha=90.00 beta=90.00 gamma=90.00
With the nearest neighbours (Å) after each atom.
Fractional positions:
Ca  0.0000  0.0000  0.0000  4 Pr 3.35, 4 Sm 3.35
Ca  0.0000  0.5000  0.5000  4 Pr 3.35, 4 Sm 3.35
Ca  0.5000  0.0000  0.5000  4 Pr 3.35, 4 Sm 3.35
Ca  0.5000  0.5000  0.0000  4 Pr 3.35, 4 Sm 3.35
Pr  0.2500  0.2500  0.7500  4 Ca 3.35, 4 Ga 3.35
Pr  0.2500  0.7500  0.2500  4 Ca 3.35, 4 Ga 3.35
Pr  0.7500  0.2500  0.2500  4 Ca 3.35, 4 Ga 3.35
Pr  0.7500  0.7500  0.7500  4 Ca 3.35, 4 Ga 3.35
Sm  0.2500  0.2500  0.2500  4 Ca 3.35, 4 Ga 3.35
Sm  0.2500  0.7500  0.7500  4 Ca 3.35, 4 Ga 3.35
Sm  0.7500  0.2500  0.7500  4 Ca 3.35, 4 Ga 3.35
Sm  0.7500  0.7500  0.2500  4 Ca 3.35, 4 Ga 3.35
Ga  0.0000  0.0000  0.5000  4 Pr 3.35, 4 Sm 3.35
Ga  0.0000  0.5000  0.0000  4 Pr 3.35, 4 Sm 3.35
Ga  0.5000  0.0000  0.0000  4 Pr 3.35, 4 Sm 3.35
Ga  0.5000  0.5000  0.5000  4 Pr 3.35, 4 Sm 3.35

Values from the calculation:
- DFT formation energy (eV per formula unit) = -0.52
- spin magnetization (μB per formula unit) = 0.0

***

# 2
Density functional theory data (GGA-PBE) for CaTbPrGa after structural relaxation.

Unit cell a=7.6979 b=7.6979 c=7.6979 alpha=90.00 beta=90.00 gamma=90.00
With the nearest neighbours (Å) after each atom.
Fractional positions:
Ca  0.0000  0.0000  0.0000  4 Pr 3.33, 4 Tb 3.33
Ca  0.0000  0.5000  0.5000  4 Pr 3.33, 4 Tb 3.33
Ca  0.5000  0.0000  0.5000  4 Pr 3.33, 4 Tb 3.33
Ca  0.5000  0.5000  0.0000  4 Pr 3.33, 4 Tb 3.33
Tb  0.2500  0.2500  0.7500  4 Ca 3.33, 4 Ga 3.33
Tb  0.2500  0.7500  0.2500  4 Ca 3.33, 4 Ga 3.33
Tb  0.7500  0.2500  0.2500  4 Ca 3.33, 4 Ga 3.33
Tb  0.7500  0.7500  0.7500  4 Ca 3.33, 4 Ga 3.33
Pr  0.2500  0.2500  0.2500  4 Ca 3.33, 4 Ga 3.33
Pr  0.2500  0.7500  0.7500  4 Ca 3.33, 4 Ga 3.33
Pr  0.7500  0.2500  0.7500  4 Ca 3.33, 4 Ga 3.33
Pr  0.7500  0.7500  0.2500  4 Ca 3.33, 4 Ga 3.33
Ga  0.0000  0.0000  0.5000  4 Tb 3.33, 4 Pr 3.33
Ga  0.0000  0.5000  0.0000  4 Tb 3.33, 4 Pr 3.33
Ga  0.5000  0.0000  0.0000  4 Tb 3.33, 4 Pr 3.33
Ga  0.5000  0.5000  0.5000  4 Tb 3.33, 4 Pr 3.33

Values from the calculation:
- DFT formation energy (eV per formula unit) = -0.46
- spin magnetization (μB per formula unit) = 0.0

***

# 3
Density functional theory data (GGA-PBE) for CaPrYGa after structural relaxation.

Unit cell a=7.7002 b=7.7002 c=7.7002 alpha=90.00 beta=90.00 gamma=90.00
With the nearest neighbours (Å) after each atom.
Fractional positions:
Ca  0.0000  0.0000  0.0000  4 Pr 3.33, 4 Y 3.33
Ca  0.0000  0.5000  0.5000  4 Pr 3.33, 4 Y 3.33
Ca  0.5000  0.0000  0.5000  4 Pr 3.33, 4 Y 3.33
Ca  0.5000  0.5000  0.0000  4 Pr 3.33, 4 Y 3.33
Pr  0.2500  0.2500  0.2500  4 Ca 3.33, 4 Ga 3.33
Pr  0.2500  0.7500  0.7500  4 Ca 3.33, 4 Ga 3.33
Pr  0.7500  0.2500  0.7500  4 Ca 3.33, 4 Ga 3.33
Pr  0.7500  0.7500  0.2500  4 Ca 3.33, 4 Ga 3.33
Y  0.2500  0.2500  0.7500  4 Ca 3.33, 4 Ga 3.33
Y  0.2500  0.7500  0.2500  4 Ca 3.33, 4 Ga 3.33
Y  0.7500  0.2500  0.2500  4 Ca 3.33, 4 Ga 3.33
Y  0.7500  0.7500  0.7500  4 Ca 3.33, 4 Ga 3.33
Ga  0.0000  0.0000  0.5000  4 Pr 3.33, 4 Y 3.33
Ga  0.0000  0.5000  0.0000  4 Pr 3.33, 4 Y 3.33
Ga  0.5000  0.0000  0.0000  4 Pr 3.33, 4 Y 3.33
Ga  0.5000  0.5000  0.5000  4 Pr 3.33, 4 Y 3.33

Values from the calculation:
- DFT formation energy (eV per formula unit) = -0.49
- spin magnetization (μB per formula unit) = 0.0

***

# 4
Density functional theory data (GGA-PBE) for CaPrZn2Ga2 after structural relaxation.

Unit cell a=4.5029 b=4.5029 c=7.5741 alpha=90.00 beta=90.00 gamma=120.00
With the nearest neighbours (Å) after each atom.
Fractional positions:
Ca  0.0000  0.0000  0.0000  6 Zn 3.20, 6 Ga 3.24
Pr  0.0000  0.0000  0.5000  6 Ga 3.19, 6 Zn 3.23
Zn  0.3333  0.6667  0.2475  3 Ga 2.60
Zn  0.6667  0.3333  0.7525  3 Ga 2.60
Ga  0.3333  0.6667  0.7439  3 Zn 2.60
Ga  0.6667  0.3333  0.2561  3 Zn 2.60

Values from the calculation:
- DFT formation energy (eV per formula unit) = -2.95
- spin magnetization (μB per formula unit) = 0.0

***

# 5
Density functional theory data (GGA-PBE) for CaPrZnGa after structural relaxation.

Unit cell a=7.3993 b=7.3993 c=7.3993 alpha=90.00 beta=90.00 gamma=90.00
With the nearest neighbours (Å) after each atom.
Fractional positions:
Ca  0.0000  0.0000  0.0000  4 Zn 3.20, 4 Ga 3.20
Ca  0.0000  0.5000  0.5000  4 Zn 3.20, 4 Ga 3.20
Ca  0.5000  0.0000  0.5000  4 Zn 3.20, 4 Ga 3.20
Ca  0.5000  0.5000  0.0000  4 Zn 3.20, 4 Ga 3.20
Pr  0.0000  0.0000  0.5000  4 Zn 3.20, 4 Ga 3.20
Pr  0.0000  0.5000  0.0000  4 Zn 3.20, 4 Ga 3.20
Pr  0.5000  0.0000  0.0000  4 Zn 3.20, 4 Ga 3.20
Pr  0.5000  0.5000  0.5000  4 Zn 3.20, 4 Ga 3.20
Zn  0.2500  0.2500  0.2500  4 Pr 3.20, 4 Ca 3.20
Zn  0.2500  0.7500  0.7500  4 Pr 3.20, 4 Ca 3.20
Zn  0.7500  0.2500  0.7500  4 Pr 3.20, 4 Ca 3.20
Zn  0.7500  0.7500  0.2500  4 Pr 3.20, 4 Ca 3.20
Ga  0.2500  0.2500  0.7500  4 Pr 3.20, 4 Ca 3.20
Ga  0.2500  0.7500  0.2500  4 Pr 3.20, 4 Ca 3.20
Ga  0.7500  0.2500  0.2500  4 Pr 3.20, 4 Ca 3.20
Ga  0.7500  0.7500  0.7500  4 Pr 3.20, 4 Ca 3.20

Values from the calculation:
- DFT formation energy (eV per formula unit) = -1.69
- spin magnetization (μB per formula unit) = 0.0

***

# 6
Density functional theory data (GGA-PBE) for Ca3GaPt after structural relaxation.

Unit cell a=5.5087 b=5.5087 c=5.5087 alpha=90.00 beta=90.00 gamma=90.00
With the nearest neighbours (Å) after each atom.
Fractional positions:
Ca  0.0000  0.0000  0.5000  2 Pt 2.75
Ca  0.0000  0.5000  0.0000  2 Pt 2.75
Ca  0.5000  0.0000  0.0000  2 Pt 2.75
Ga  0.5000  0.5000  0.5000  12 Ca 3.90
Pt  0.0000  0.0000  0.0000  6 Ca 2.75

Values from the calculation:
- DFT formation energy (eV per formula unit) = -1.95
- spin magnetization (μB per formula unit) = 0.0

***

Calculated theoretical density in order - 5.7, 6.0, 4.9, 5.6, 5.2, 3.8 g/cm3
Calculated V in order - 116.1, 114.0, 114.1, 133.0, 101.3, 167.2 Å³/f.u.
Calculated uncorrected energy in order - -60.18, -59.58, -67.07, -18.34, -51.07, -17.03 eV per cell